{"formula": "Ho2Cr2Ni15", "functional": "PBE", "state": "optimized geometry", "cell": [[-2.611, 5.683, -0.154], [-2.378, -0.050, 5.787], [4.652, 3.100, 2.809]], "species": ["Ni", "Ni", "Ni", "Ni", "Ni", "Ni", "Ni", "Ni", "Ho", "Ho", "Cr", "Ni", "Ni", "Ni", "Ni", "Cr", "Ni", "Ni", "Ni"], "frac_coords": [[0.155, 0.659, 0.659], [0.500, 0.000, 0.000], [0.000, 0.696, 0.304], [0.341, 0.845, 0.341], [0.304, 0.000, 0.696], [0.659, 0.659, 0.155], [0.845, 0.341, 0.341], [0.304, 0.696, 0.000], [0.659, 0.659, 0.659], [0.341, 0.341, 0.341], [0.920, 0.920, 0.920], [0.659, 0.155, 0.659], [0.000, 0.304, 0.696], [0.000, 0.500, 0.000], [0.000, 0.000, 0.500], [0.080, 0.080, 0.080], [0.696, 0.304, 0.000], [0.341, 0.341, 0.845], [0.696, 0.000, 0.304]], "ef_ev_per_atom": -0.198, "magmom_total_mub_per_fu": 4.49}